Entry 1
An optimized crystal structure of GdTm2Ti, computed with PBE.

## Properties
* total magnetic moment: 5.279 μB per formula unit
* Fermi-level density of states: 1.462 states/eV/atom

abc: 11.775 11.775 11.775
angles: 16.25 16.25 16.25
Element x y z (fractional)
Gd (0.000, 0.000, 0.000)
Tm (0.416, 0.416, 0.416)
Tm (0.584, 0.584, 0.584)
Ti (0.500, 0.500, 0.500)

***

Entry 2
An optimized crystal structure of GdTm2Ti, computed with PBE.

## Properties
* total magnetic moment: 6.357 μB per formula unit
* Fermi-level density of states: 1.371 states/eV/atom

abc: 4.747 4.747 4.751
angles: 90.00 90.00 90.00
Element x y z (fractional)
Gd (0.000, 0.000, 0.000)
Tm (0.000, 0.500, 0.500)
Tm (0.500, 0.000, 0.500)
Ti (0.500, 0.500, 0.000)

***

Entry 3
An optimized crystal structure of GdTm2Ti, computed with PBE.

## Properties
* total magnetic moment: 7.650 μB per formula unit
* Fermi-level density of states: 1.564 states/eV/atom

abc: 3.357 3.357 9.586
angles: 90.00 90.00 90.00
Element x y z (fractional)
Gd (0.000, 0.000, 0.000)
Tm (0.500, 0.500, 0.285)
Tm (0.500, 0.500, 0.715)
Ti (0.000, 0.000, 0.500)

***

Which is most stable, and by how much? entry 3, by 3.6 kJ/mol of atoms.

***

Entry 1
An optimized crystal structure of Gd2YTi, computed with PBE.

## Properties
* total magnetic moment: 14.247 μB per formula unit
* Fermi-level density of states: 1.538 states/eV/atom

abc: 3.423 3.423 9.537
angles: 90.00 90.00 90.00
Element x y z (fractional)
Gd (0.000, 0.000, 0.219)
Gd (0.000, 0.000, 0.781)
Y (0.500, 0.500, 0.500)
Ti (0.500, 0.500, 0.000)

***

Entry 2
An optimized crystal structure of Gd2YTi, computed with PBE.

## Properties
* total magnetic moment: 16.391 μB per formula unit
* Fermi-level density of states: 1.602 states/eV/atom

abc: 11.962 11.962 11.962
angles: 16.16 16.16 16.16
Element x y z (fractional)
Gd (0.083, 0.083, 0.083)
Gd (0.917, 0.917, 0.917)
Y (0.500, 0.500, 0.500)
Ti (0.000, 0.000, 0.000)

***

Which is most stable, and by how much? entry 1, by 24.6 kJ/mol of atoms.

***

Entry 1
An optimized crystal structure of Gd2TiZn, computed with PBE.

## Properties
* total magnetic moment: 16.805 μB per formula unit
* Fermi-level density of states: 1.617 states/eV/atom

abc: 5.068 5.068 3.751
angles: 90.00 90.00 90.00
Element x y z (fractional)
Gd (0.000, 0.500, 0.000)
Gd (0.500, 0.000, 0.000)
Ti (0.000, 0.000, 0.500)
Zn (0.500, 0.500, 0.500)

***

Entry 2
An optimized crystal structure of Gd2TiZn, computed with PBE.

## Properties
* total magnetic moment: 14.330 μB per formula unit
* Fermi-level density of states: 1.208 states/eV/atom

abc: 3.388 3.388 8.307
angles: 90.00 90.00 90.00
Element x y z (fractional)
Gd (0.000, 0.000, 0.242)
Gd (0.000, 0.000, 0.758)
Ti (0.500, 0.500, 0.500)
Zn (0.500, 0.500, 0.000)

***

Which is most stable, and by how much? entry 2, by 3.9 kJ/mol of atoms.